The following is a DFT calculation (PBE) of a geometry-optimized Hf2Ag2Pt structure.

## Properties
ΔH_f (0 K) ... -37 kJ/mol of formula units
ρ ... 13.4 g cm⁻³

abc: 7.246 7.246 3.626
angles: 90.00 90.00 90.00
Space group P4/mbm (No. 127)
Symmetry-distinct sites (fractional):
Hf  0.175  0.325  0.000 [4 per cell]
Ag  0.130  0.630  0.500 [4 per cell]
Pt  0.000  0.000  0.500 [2 per cell]